Entry 1:
{"formula": "TaCd4Se", "functional": "GGA-PBE", "state": "optimized geometry", "cell": [[0.000, 4.024, 4.024], [4.024, 0.000, 4.024], [4.024, 4.024, 0.000]], "species": ["Ta", "Cd", "Cd", "Cd", "Cd", "Se"], "fractional_positions": [[0.000, 0.000, 0.000], [0.374, 0.374, 0.877], [0.374, 0.877, 0.374], [0.374, 0.374, 0.374], [0.877, 0.374, 0.374], [0.750, 0.750, 0.750]], "e_form_raw_ev_per_atom": 0.588}



Entry 2:
{"formula": "Sr2Pb3Au2", "functional": "GGA-PBE", "state": "optimized geometry", "cell": [[-3.105, -1.471, 2.087], [-2.267, -0.909, -4.013], [5.724, -9.666, 1.705]], "species": ["Au", "Au", "Pb", "Pb", "Pb", "Sr", "Sr"], "fractional_positions": [[0.500, 0.713, 0.426], [0.500, 0.287, 0.574], [0.000, 0.000, 0.000], [0.500, 0.427, 0.854], [0.500, 0.573, 0.146], [0.000, 0.833, 0.666], [0.000, 0.167, 0.334]], "ef_ev_per_atom": -0.485, "relative_energy_mev_per_atom": 0}